1.
Ho3Fe | GGA-PBE | relaxed

## Properties
The density of states at the Fermi level is 0.968 states/eV per atom. For the energy, the calculation gives -43.78 eV per cell.

a b c (Å): 3.498 10.550 5.312
angles (deg): 90.00 90.00 90.00
Space group Imm2 (No. 44)
Unique sites:
1 Ho 0.000 0.000 0.000
2 Ho 0.000 0.193 0.498
3 Fe 0.000 0.500 0.967



2.
CrTc | GGA-PBE | relaxed

## Properties
The density of states at the Fermi level is 1.302 states/eV per atom. For the energy, the calculation gives -97.43 eV per cell.

a b c (Å): 6.599 6.599 6.599
angles (deg): 90.00 90.00 90.00
Space group Pm-3n (No. 223)
Unique sites:
1 Cr 0.000 0.250 0.500
2 Tc 0.000 0.500 0.250



3.
Al6ZnAu12 | GGA-PBE | relaxed

## Properties
The density of states at the Fermi level is 0.231 states/eV per atom. For the energy, the calculation gives -203.50 eV per cell.

a b c (Å): 12.1452 12.1452 7.7819
angles (deg): 90.00 90.00 120.00
Space group R-3 (No. 148, hexagonal axes)
Unique sites:
1 Al 0.0203 0.7494 0.2990
2 Zn 0.0000 0.0000 0.0000
3 Au 0.0096 0.1447 0.3470
4 Au 0.0664 0.5019 0.6775



4.
Pr8NiRh3I4 | GGA-PBE | relaxed

## Properties
The density of states at the Fermi level is 0.377 states/eV per atom. The calculation puts the formation energy from raw total energies at -13.92 eV/f.u. For the energy, the calculation gives -172.39 eV per cell.

a b c (Å): 14.545 8.417 9.529
angles (deg): 90.00 120.58 90.00
Space group C2/m (No. 12)
Unique sites:
1 Pr 0.021 0.248 0.316
2 Pr 0.226 0.000 0.684
3 Pr 0.229 0.500 0.688
4 Ni 0.000 0.000 0.500
5 Rh 0.000 0.500 0.500
6 Rh 0.250 0.250 0.500
7 I 0.000 0.000 0.000
8 I 0.000 0.500 0.000
9 I 0.250 0.250 0.000



5.
Ti5Sb3 | GGA-PBE | relaxed

## Properties
The calculation puts the energy above the most stable polymorph in this dataset at 0.0 meV per atom. The density of states at the Fermi level is 0.791 states/eV per atom. The calculation puts the formation energy from raw total energies at -3.96 eV/f.u. For the energy, the calculation gives -223.20 eV per cell.

a b c (Å): 10.179 8.374 7.192
angles (deg): 90.00 90.00 90.00
Space group Pnma (No. 62)
Unique sites:
1 Ti 0.004 0.250 0.021
2 Ti 0.052 0.062 0.704
3 Ti 0.217 0.750 0.321
4 Ti 0.234 0.250 0.318
5 Sb 0.028 0.750 0.591
6 Sb 0.179 0.507 0.063



6.
KTl3Si | GGA-PBE | relaxed

## Properties
The calculation puts the energy above the most stable polymorph in this dataset at 887.2 meV per atom. The density of states at the Fermi level is 0.641 states/eV per atom. The calculation puts the formation energy from raw total energies at 5.44 eV/f.u. For the energy, the calculation gives -8.17 eV per cell.

a b c (Å): 5.972 5.972 5.972
angles (deg): 90.00 90.00 90.00
Space group Pm-3m (No. 221)
Unique sites:
1 K 0.000 0.000 0.000
2 Tl 0.000 0.000 0.500
3 Si 0.500 0.500 0.500



7.
MnCoAs | GGA-PBE | relaxed

## Properties
The density of states at the Fermi level is 0.597 states/eV per atom. For the energy, the calculation gives -21.27 eV per cell.

a b c (Å): 3.9598 3.9598 2.9061
angles (deg): 90.00 90.00 120.00
Space group P-6m2 (No. 187)
Unique sites:
1 Mn 0.0000 0.0000 0.0000
2 Co 0.6667 0.3333 0.5000
3 As 0.3333 0.6667 0.5000



8.
SmGa5Pt2Rh | GGA-PBE | relaxed

## Properties
The density of states at the Fermi level is 0.533 states/eV per atom. For the energy, the calculation gives -43.65 eV per cell.

a b c (Å): 4.257 4.257 10.244
angles (deg): 90.00 90.00 90.00
Space group P4/mmm (No. 123)
Unique sites:
1 Sm 0.000 0.000 0.000
2 Ga 0.000 0.500 0.359
3 Ga 0.500 0.500 0.000
4 Pt 0.500 0.500 0.230
5 Rh 0.000 0.000 0.500